# SrSc2Re, PBEsol geometry, DFT meta-GGA SCAN
# ΔE_f   0.38 eV per atom
# DOS(E_F)   4.98 states/eV/cell
# Excess energy over the best structure of this formula in the dataset   0.303 eV per formula unit
data_SrSc2Re
_cell_length_a 4.261
_cell_length_b 5.380
_cell_length_c 7.651
_cell_angle_alpha 90.00
_cell_angle_beta 90.00
_cell_angle_gamma 90.00
_space_group_name_H-M_alt 'I m m m'
_space_group_IT_number 71
_space_group_name_Hall '-I 2 2'
loop_
_atom_site_label
_atom_site_type_symbol
_atom_site_fract_x
_atom_site_fract_y
_atom_site_fract_z
_atom_site_occupancy
Sr1 Sr 0.000 0.000 0.000 1
Sc1 Sc 0.000 0.500 0.214 1
Re1 Re 0.000 0.000 0.500 1

# SrScRe2, PBEsol geometry, DFT meta-GGA SCAN
# ΔE_f   0.51 eV per atom
# DOS(E_F)   6.85 states/eV/cell
# Excess energy over the best structure of this formula in the dataset   0.000 eV per formula unit
data_SrScRe2
_cell_length_a 9.641
_cell_length_b 3.683
_cell_length_c 5.890
_cell_angle_alpha 90.00
_cell_angle_beta 105.91
_cell_angle_gamma 90.00
_space_group_name_H-M_alt 'C 1 2/m 1'
_space_group_IT_number 12
loop_
_space_group_symop_operation_xyz
'x,y,z'
'-x,-y,-z'
'-x,y,-z'
'x,-y,z'
'x+1/2,y+1/2,z'
'-x+1/2,-y+1/2,-z'
'-x+1/2,y+1/2,-z'
'x+1/2,-y+1/2,z'
loop_
_atom_site_label
_atom_site_type_symbol
_atom_site_fract_x
_atom_site_fract_y
_atom_site_fract_z
_atom_site_occupancy
Sr1 Sr 0.000 0.000 0.000 1
Sc1 Sc 0.000 0.500 0.500 1
Re1 Re 0.248 0.000 0.624 1

# SrSc2Re, PBEsol geometry, DFT meta-GGA SCAN
# ΔE_f   0.30 eV per atom
# DOS(E_F)   4.62 states/eV/cell
# Excess energy over the best structure of this formula in the dataset   0.000 eV per formula unit
data_SrSc2Re
_cell_length_a 3.607
_cell_length_b 3.607
_cell_length_c 7.675
_cell_angle_alpha 90.00
_cell_angle_beta 90.00
_cell_angle_gamma 90.00
_space_group_name_H-M_alt 'P 4 m m'
_space_group_IT_number 99
loop_
_space_group_symop_operation_xyz
'x,y,z'
'-y,x,z'
'-x,-y,z'
'y,-x,z'
'-x,y,z'
'y,x,z'
'x,-y,z'
'-y,-x,z'
loop_
_atom_site_label
_atom_site_type_symbol
_atom_site_fract_x
_atom_site_fract_y
_atom_site_fract_z
_atom_site_occupancy
Sr1 Sr 0.000 0.000 0.000 1
Sc1 Sc 0.000 0.000 0.408 1
Sc2 Sc 0.500 0.500 0.628 1
Re1 Re 0.500 0.500 0.286 1

# SrScRe, PBEsol geometry, DFT meta-GGA SCAN
# ΔE_f   0.52 eV per atom
# DOS(E_F)   6.66 states/eV/cell
data_SrScRe
_cell_length_a 3.424
_cell_length_b 3.424
_cell_length_c 12.216
_cell_angle_alpha 90.00
_cell_angle_beta 90.00
_cell_angle_gamma 90.00
_space_group_name_H-M_alt 'I 4 m m'
_space_group_IT_number 107
_space_group_name_Hall 'I 4 -2'
loop_
_atom_site_label
_atom_site_type_symbol
_atom_site_fract_x
_atom_site_fract_y
_atom_site_fract_z
_atom_site_occupancy
Sr1 Sr 0.000 0.000 0.000 1
Sc1 Sc 0.000 0.000 0.732 1
Re1 Re 0.000 0.000 0.327 1

# SrScRe2, PBEsol geometry, DFT meta-GGA SCAN
# ΔE_f   0.97 eV per atom
# DOS(E_F)   4.10 states/eV/cell
# Excess energy over the best structure of this formula in the dataset   1.869 eV per formula unit
data_SrScRe2
_cell_length_a 3.872
_cell_length_b 3.872
_cell_length_c 4.938
_cell_angle_alpha 90.00
_cell_angle_beta 90.00
_cell_angle_gamma 90.00
_space_group_name_H-M_alt 'P 4/m m m'
_space_group_IT_number 123
_space_group_name_Hall '-P 4 2'
loop_
_atom_site_label
_atom_site_type_symbol
_atom_site_fract_x
_atom_site_fract_y
_atom_site_fract_z
_atom_site_occupancy
Sr1 Sr 0.000 0.000 0.000 1
Sc1 Sc 0.500 0.500 0.000 1
Re1 Re 0.000 0.500 0.500 1

# ScTaRe, PBEsol geometry, DFT meta-GGA SCAN
# ΔE_f   -0.18 eV per atom
# DOS(E_F)   5.87 states/eV/cell
data_ScTaRe
_cell_length_a 3.225
_cell_length_b 3.225
_cell_length_c 10.153
_cell_angle_alpha 90.00
_cell_angle_beta 90.00
_cell_angle_gamma 90.00
_space_group_name_H-M_alt 'I 4 m m'
_space_group_IT_number 107
_space_group_name_Hall 'I 4 -2'
loop_
_atom_site_label
_atom_site_type_symbol
_atom_site_fract_x
_atom_site_fract_y
_atom_site_fract_z
_atom_site_occupancy
Sc1 Sc 0.000 0.000 0.000 1
Ta1 Ta 0.000 0.000 0.697 1
Re1 Re 0.000 0.000 0.329 1

# ScRe2Tc, PBEsol geometry, DFT meta-GGA SCAN
# ΔE_f   -0.19 eV per atom
# DOS(E_F)   4.51 states/eV/cell
# Excess energy over the best structure of this formula in the dataset   0.000 eV per formula unit
data_ScRe2Tc
_cell_length_a 3.088
_cell_length_b 4.382
_cell_length_c 8.995
_cell_angle_alpha 90.00
_cell_angle_beta 90.00
_cell_angle_gamma 90.00
_space_group_name_H-M_alt 'I m m m'
_space_group_IT_number 71
_space_group_name_Hall '-I 2 2'
loop_
_atom_site_label
_atom_site_type_symbol
_atom_site_fract_x
_atom_site_fract_y
_atom_site_fract_z
_atom_site_occupancy
Sc1 Sc 0.000 0.000 0.000 1
Re1 Re 0.000 0.500 0.243 1
Tc1 Tc 0.000 0.000 0.500 1

# ScRe2Tc, PBEsol geometry, DFT meta-GGA SCAN
# ΔE_f   -0.12 eV per atom
# DOS(E_F)   5.29 states/eV/cell
# Excess energy over the best structure of this formula in the dataset   0.262 eV per formula unit
data_ScRe2Tc
_cell_length_a 3.093
_cell_length_b 4.452
_cell_length_c 8.854
_cell_angle_alpha 90.00
_cell_angle_beta 90.00
_cell_angle_gamma 90.00
_space_group_name_H-M_alt 'I m m 2'
_space_group_IT_number 44
loop_
_space_group_symop_operation_xyz
'x,y,z'
'-x,-y,z'
'-x,y,z'
'x,-y,z'
'x+1/2,y+1/2,z+1/2'
'-x+1/2,-y+1/2,z+1/2'
'-x+1/2,y+1/2,z+1/2'
'x+1/2,-y+1/2,z+1/2'
loop_
_atom_site_label
_atom_site_type_symbol
_atom_site_fract_x
_atom_site_fract_y
_atom_site_fract_z
_atom_site_occupancy
Sc1 Sc 0.000 0.000 0.000 1
Re1 Re 0.000 0.000 0.500 1
Re2 Re 0.000 0.500 0.760 1
Tc1 Tc 0.000 0.500 0.244 1

# ScReTc2, PBEsol geometry, DFT meta-GGA SCAN
# ΔE_f   -0.28 eV per atom
# DOS(E_F)   3.61 states/eV/cell
data_ScReTc2
_cell_length_a 6.206
_cell_length_b 6.206
_cell_length_c 6.206
_cell_angle_alpha 90.00
_cell_angle_beta 90.00
_cell_angle_gamma 90.00
_space_group_name_H-M_alt 'F m -3 m'
_space_group_IT_number 225
_space_group_name_Hall '-F 4 2 3'
loop_
_atom_site_label
_atom_site_type_symbol
_atom_site_fract_x
_atom_site_fract_y
_atom_site_fract_z
_atom_site_occupancy
Sc1 Sc 0.000 0.000 0.000 1
Re1 Re 0.000 0.000 0.500 1
Tc1 Tc 0.250 0.250 0.250 1

# ScRe2Tc, PBEsol geometry, DFT meta-GGA SCAN
# ΔE_f   -0.08 eV per atom
# DOS(E_F)   2.44 states/eV/cell
# Excess energy over the best structure of this formula in the dataset   0.449 eV per formula unit
data_ScRe2Tc
_cell_length_a 2.759
_cell_length_b 4.367
_cell_length_c 5.133
_cell_angle_alpha 90.00
_cell_angle_beta 100.34
_cell_angle_gamma 90.00
_space_group_name_H-M_alt 'P 1 m 1'
_space_group_IT_number 6
loop_
_space_group_symop_operation_xyz
'x,y,z'
'x,-y,z'
loop_
_atom_site_label
_atom_site_type_symbol
_atom_site_fract_x
_atom_site_fract_y
_atom_site_fract_z
_atom_site_occupancy
Sc1 Sc 0.000 0.000 0.000 1
Re1 Re 0.271 0.500 0.740 1
Re2 Re 0.500 0.000 0.499 1
Tc1 Tc 0.748 0.500 0.244 1